1.
Compound: In4BrCl3
Source: the Alexandria database
Functional: GGA-PBE
Structure: relaxed

The space group is Pmn2_1 (No. 31) and the conventional cell measures 12.702, 6.788 and 6.442 Å, with angles of 90.00, 90.00 and 90.00 degrees. The inequivalent atoms are In at (0.000, 0.229, 0.000), In at (0.000, 0.742, 0.495), In at (0.241, 0.746, 0.988), Br at (0.000, 0.292, 0.513), Cl at (0.000, 0.656, 0.028) and Cl at (0.250, 0.322, 0.959).

As for the crystal system: orthorhombic. For the energy above the lowest structure with this stoichiometry, the calculation gives 0 meV per atom. The value obtained for the energy is -3.033 eV/atom. For the formation energy from raw total energies, the calculation gives -0.76 eV per atom.

2.
Compound: ThCoB3
Source: the Alexandria database
Functional: GGA-PBE
Structure: relaxed

The space group is I4mm (No. 107) and the conventional cell measures 3.613, 3.613 and 8.856 Å, with angles of 90.00, 90.00 and 90.00 degrees. The inequivalent atoms are Th at (0.000, 0.000, 0.000), Co at (0.000, 0.000, 0.653), B at (0.000, 0.000, 0.368) and B at (0.000, 0.500, 0.266).

As for the crystal system: tetragonal. The value obtained for the energy is -6.995 eV/atom. Its energy of formation is -0.416 eV/f.u.

3.
Compound: LiCr2Os
Source: the Alexandria database
Functional: GGA-PBE
Structure: relaxed

The space group is I-42d (No. 122) and the conventional cell measures 6.719, 6.719 and 4.933 Å, with angles of 90.00, 90.00 and 90.00 degrees. The inequivalent atoms are Li at (0.000, 0.000, 0.000), Cr at (0.224, 0.250, 0.625) and Os at (0.000, 0.000, 0.500).

As for the crystal system: tetragonal. The value obtained for the energy is -7.291 eV/atom. Its energy of formation is 3.226 eV/f.u.

4.
Compound: Li2Ga8Rh
Source: the Alexandria database
Functional: GGA-PBE
Structure: relaxed

The space group is C2/m (No. 12) and the conventional cell measures 16.928, 4.068 and 5.555 Å, with angles of 90.00, 97.63 and 90.00 degrees. The inequivalent atoms are Li at (0.204, 0.000, 0.102), Ga at (0.009, 0.000, 0.232), Ga at (0.123, 0.500, 0.821), Ga at (0.129, 0.500, 0.307), Ga at (0.203, 0.000, 0.602) and Rh at (0.000, 0.500, 0.500).

As for the crystal system: monoclinic. For the energy above the lowest structure with this stoichiometry, the calculation gives 6 meV per atom. The value obtained for the energy is -3.480 eV/atom. Its energy of formation is -2.891 eV/f.u.